Compound: TbNdPd6
Source: the Alexandria database
Functional: PBE-GGA
Structure: relaxed

Cell lengths 4.174, 4.174, 8.321 Å; angles 90.00, 90.00, 90.00 degrees
Element x y z (fractional)
Tb (0.000, 0.000, 0.000)
Nd (0.000, 0.000, 0.500)
Pd (0.000, 0.500, 0.245)
Pd (0.000, 0.500, 0.755)
Pd (0.500, 0.000, 0.245)
Pd (0.500, 0.000, 0.755)
Pd (0.500, 0.500, 0.000)
Pd (0.500, 0.500, 0.500)

## Properties
- total magnetic moment (μB/cell) = 0.0
- calculated volume (Å³/cell) = 145
- energy of formation (eV per atom) = -0.812

***

Compound: TbNd4Pd4
Source: the Alexandria database
Functional: PBE-GGA
Structure: relaxed

Cell lengths 9.033, 9.033, 6.046 Å; angles 90.00, 90.00, 90.00 degrees
Element x y z (fractional)
Tb (0.250, 0.250, 0.250)
Tb (0.750, 0.750, 0.750)
Nd (0.058, 0.663, 0.154)
Nd (0.163, 0.942, 0.654)
Nd (0.337, 0.558, 0.654)
Nd (0.442, 0.837, 0.154)
Nd (0.558, 0.163, 0.846)
Nd (0.663, 0.442, 0.346)
Nd (0.837, 0.058, 0.346)
Nd (0.942, 0.337, 0.846)
Pd (0.026, 0.632, 0.646)
Pd (0.132, 0.974, 0.146)
Pd (0.368, 0.526, 0.146)
Pd (0.474, 0.868, 0.646)
Pd (0.526, 0.132, 0.354)
Pd (0.632, 0.474, 0.854)
Pd (0.868, 0.026, 0.854)
Pd (0.974, 0.368, 0.354)

## Properties
- total magnetic moment (μB/cell) = 0.0
- calculated volume (Å³/cell) = 493
- energy of formation (eV per atom) = -0.601

***

Compound: Tb2NdPd2
Source: the Alexandria database
Functional: PBE-GGA
Structure: relaxed

Cell lengths 7.981, 7.981, 3.895 Å; angles 90.00, 90.00, 90.00 degrees
Element x y z (fractional)
Tb (0.164, 0.336, 0.000)
Tb (0.336, 0.836, 0.000)
Tb (0.664, 0.164, 0.000)
Tb (0.836, 0.664, 0.000)
Nd (0.000, 0.000, 0.500)
Nd (0.500, 0.500, 0.500)
Pd (0.128, 0.628, 0.500)
Pd (0.372, 0.128, 0.500)
Pd (0.628, 0.872, 0.500)
Pd (0.872, 0.372, 0.500)

## Properties
- total magnetic moment (μB/cell) = 0.0
- calculated volume (Å³/cell) = 248
- offset from the most stable computed form (eV/atom) = 0.000
- energy of formation (eV per atom) = -0.679